Computed, not measured: a relaxed NaAcEuSb crystal at the PBE level of DFT.

Cell lengths 8.096, 8.096, 8.096 Å; angles 90.00, 90.00, 90.00 degrees
Space group F-43m (No. 216)
Asymmetric unit:
Na: 0.000 0.000 0.000 (multiplicity 4)
Ac: 0.250 0.250 0.250 (multiplicity 4)
Eu: 0.250 0.250 0.750 (multiplicity 4)
Sb: 0.000 0.000 0.500 (multiplicity 4)

## Properties
Energy relative to the elements, uncorrected (eV per atom): -0.407
Calculated volume (Å³/atom): 33.17
Spin magnetization (Bohr magnetons per cell): 32.0